LiCdCo2 | PBE-GGA | relaxed

Output
Volume ... 13.94 A^3/atom
Energy ... -3.96 eV/atom
Crystal system ... orthorhombic
Energy of formation ... 305 meV per atom
Mass density ... 7.06 Mg/m³

Structure (CIF):
```
data_LiCdCo2
_cell_length_a 5.031
_cell_length_b 8.403
_cell_length_c 2.638
_cell_angle_alpha 90.00
_cell_angle_beta 90.00
_cell_angle_gamma 90.00
_symmetry_space_group_name_H-M 'C m m m'
_symmetry_Int_Tables_number 65
_symmetry_space_group_name_Hall '-C 2 2'
loop_
_atom_site_label
_atom_site_type_symbol
_atom_site_fract_x
_atom_site_fract_y
_atom_site_fract_z
_atom_site_occupancy
Li1 Li 0.000 0.000 0.000 1
Cd1 Cd 0.000 0.500 0.000 1
Co1 Co 0.250 0.250 0.500 1
```

LiCd2Co | PBE-GGA | relaxed

Output
Volume ... 16.52 A^3/atom
Energy ... -2.58 eV/atom
Crystal system ... tetragonal
Energy of formation ... 131 meV per atom
Mass density ... 7.31 Mg/m³

Structure (CIF):
```
data_LiCd2Co
_cell_length_a 3.943
_cell_length_b 3.943
_cell_length_c 8.500
_cell_angle_alpha 90.00
_cell_angle_beta 90.00
_cell_angle_gamma 90.00
_symmetry_space_group_name_H-M 'I -4 m 2'
_symmetry_Int_Tables_number 119
_symmetry_space_group_name_Hall 'I -4 -2'
loop_
_atom_site_label
_atom_site_type_symbol
_atom_site_fract_x
_atom_site_fract_y
_atom_site_fract_z
_atom_site_occupancy
Li1 Li 0.000 0.000 0.000 1
Cd1 Cd 0.000 0.000 0.500 1
Cd2 Cd 0.000 0.500 0.750 1
Co1 Co 0.000 0.500 0.250 1
```

LiLuCdCo | PBE-GGA | relaxed

Output
Volume ... 17.32 A^3/atom
Energy ... -3.68 eV/atom
Crystal system ... cubic
Energy of formation ... -67 meV per atom
Mass density ... 8.46 Mg/m³

Structure (CIF):
```
data_LiLuCdCo
_cell_length_a 6.520
_cell_length_b 6.520
_cell_length_c 6.520
_cell_angle_alpha 90.00
_cell_angle_beta 90.00
_cell_angle_gamma 90.00
_symmetry_space_group_name_H-M 'F -4 3 m'
_symmetry_Int_Tables_number 216
_symmetry_space_group_name_Hall 'F -4 2 3'
loop_
_atom_site_label
_atom_site_type_symbol
_atom_site_fract_x
_atom_site_fract_y
_atom_site_fract_z
_atom_site_occupancy
Li1 Li 0.000 0.000 0.000 1
Lu1 Lu 0.250 0.250 0.750 1
Cd1 Cd 0.250 0.250 0.250 1
Co1 Co 0.000 0.000 0.500 1
```